Record 1
# Ca2VTc PBE optimized geometry
# E above lowest polymorph	89	kJ/mol of formula units
# total DFT energy (no corrections)	-4.768	eV/atom
# energy of formation from the pure elements	4.4	eV/f.u.
# N(E_F)	10.381	states/eV per cell
data_Ca2VTc
_space_group_name_H-M_alt 'P 1'
_space_group_IT_number 1
_space_group_name_Hall 'P 1'
_cell_length_a 6.404
_cell_length_b 6.404
_cell_length_c 6.404
_cell_angle_alpha 101.41
_cell_angle_beta 101.41
_cell_angle_gamma 127.17
loop_
_atom_site_label
_atom_site_type_symbol
_atom_site_fract_x
_atom_site_fract_y
_atom_site_fract_z
Ca1 Ca 0.111 0.625 0.986
Ca2 Ca 0.375 0.361 0.486
Ca3 Ca 0.639 0.125 0.014
Ca4 Ca 0.875 0.889 0.514
V1 V 0.250 0.750 0.500
V2 V 0.500 0.500 0.000
Tc1 Tc 0.000 0.000 0.000
Tc2 Tc 0.750 0.250 0.500


Record 2
# Ca3VTc PBE optimized geometry
# E above lowest polymorph	0	kJ/mol of formula units
# total DFT energy (no corrections)	-4.070	eV/atom
# energy of formation from the pure elements	5.1	eV/f.u.
# N(E_F)	8.569	states/eV per cell
data_Ca3VTc
_space_group_name_H-M_alt 'P 1'
_space_group_IT_number 1
_space_group_name_Hall 'P 1'
_cell_length_a 5.410
_cell_length_b 5.410
_cell_length_c 5.410
_cell_angle_alpha 90.00
_cell_angle_beta 90.00
_cell_angle_gamma 90.00
loop_
_atom_site_label
_atom_site_type_symbol
_atom_site_fract_x
_atom_site_fract_y
_atom_site_fract_z
Ca1 Ca 0.000 0.000 0.500
Ca2 Ca 0.000 0.500 0.000
Ca3 Ca 0.500 0.000 0.000
V1 V 0.500 0.500 0.500
Tc1 Tc 0.000 0.000 0.000


N(E_F) of number 1 (Ca2VTc)?
10.381 states/eV per cell